Record 1
Ac5Nd4Ho2 after structural relaxation. Source: Alexandria via LeMat-Bulk, functional PBE.

Summary:
ΔH_f (0 K) = 0.16 eV/atom
DOS(E_F) = 1.83 states/eV per atom

Cell lengths 9.401, 3.695, 12.537 Å; angles 90.00, 92.13, 90.00 degrees
Positions (direct):
Ac 0.000 0.000 0.000
Ac 0.198 0.000 0.527
Ac 0.288 0.000 0.821
Ac 0.712 0.000 0.179
Ac 0.802 0.000 0.473
Nd 0.077 0.500 0.267
Nd 0.461 0.500 0.354
Nd 0.539 0.500 0.646
Nd 0.923 0.500 0.733
Ho 0.345 0.000 0.121
Ho 0.655 0.000 0.879

=====

Record 2
LaPmPaTl after structural relaxation. Source: Alexandria via LeMat-Bulk, functional PBE.

Summary:
ΔH_f (0 K) = 0.22 eV/atom
DOS(E_F) = 1.72 states/eV per atom

Cell lengths 5.505, 5.505, 5.505 Å; angles 60.00, 60.00, 60.00 degrees
Positions (direct):
La 0.000 0.000 0.000
Pm 0.500 0.500 0.500
Pa 0.750 0.750 0.750
Tl 0.250 0.250 0.250

=====

Record 3
La4Dy2HoSc after structural relaxation. Source: Alexandria via LeMat-Bulk, functional PBE.

Summary:
ΔH_f (0 K) = 0.03 eV/atom
DOS(E_F) = 1.37 states/eV per atom

Cell lengths 5.201, 5.217, 9.757 Å; angles 90.00, 90.00, 90.00 degrees
Positions (direct):
La 0.000 0.000 0.245
La 0.000 0.000 0.755
La 0.500 0.500 0.246
La 0.500 0.500 0.754
Dy 0.000 0.500 0.000
Dy 0.500 0.000 0.500
Ho 0.000 0.500 0.500
Sc 0.500 0.000 0.000

=====

Record 4
Cs3Pa3GaTe8 after structural relaxation. Source: Alexandria via LeMat-Bulk, functional PBE.

Summary:
Energy = -4.816 eV/atom
DOS(E_F) = 1.03 states/eV per atom

Cell lengths 10.408, 10.408, 10.408 Å; angles 51.94, 51.94, 51.94 degrees
Positions (direct):
Cs 0.000 0.500 0.500
Cs 0.500 0.000 0.500
Cs 0.500 0.500 0.000
Pa 0.000 0.000 0.500
Pa 0.000 0.500 0.000
Pa 0.500 0.000 0.000
Ga 0.500 0.500 0.500
Te 0.215 0.735 0.735
Te 0.231 0.231 0.231
Te 0.265 0.265 0.785
Te 0.265 0.785 0.265
Te 0.735 0.215 0.735
Te 0.735 0.735 0.215
Te 0.769 0.769 0.769
Te 0.785 0.265 0.265

=====

Record 5
PaZnTc2 after structural relaxation. Source: Alexandria via LeMat-Bulk, functional PBE.

Summary:
Energy relative to the lowest polymorph listed for this composition = 0.0000 eV/atom
ΔH_f (0 K) = -0.17 eV/atom
DOS(E_F) = 1.43 states/eV per atom

Cell lengths 4.319, 4.319, 3.644 Å; angles 90.00, 90.00, 90.00 degrees
Positions (direct):
Pa 0.000 0.000 0.000
Zn 0.500 0.500 0.000
Tc 0.000 0.500 0.500
Tc 0.500 0.000 0.500

=====

Record 6
NaAgBiTe2 after structural relaxation. Source: Alexandria via LeMat-Bulk, functional PBE.

Summary:
Energy = -3.074 eV/atom
DOS(E_F) = 0.22 states/eV per atom

Cell lengths 8.774, 8.774, 5.735 Å; angles 90.00, 90.00, 134.72 degrees
Positions (direct):
Na 0.250 0.750 0.757
Na 0.750 0.250 0.243
Ag 0.000 0.000 0.500
Ag 0.500 0.500 0.500
Bi 0.250 0.250 0.000
Bi 0.750 0.750 0.000
Te 0.146 0.854 0.259
Te 0.354 0.646 0.259
Te 0.646 0.354 0.741
Te 0.854 0.146 0.741

=====

Record 7
PmFe3Si2 after structural relaxation. Source: Alexandria via LeMat-Bulk, functional PBE.

Summary:
Energy = -7.313 eV/atom
DOS(E_F) = 0.89 states/eV per atom

Cell lengths 7.589, 7.589, 7.114 Å; angles 114.40, 114.40, 29.07 degrees
Positions (direct):
Pm 0.149 0.149 0.061
Pm 0.851 0.851 0.939
Fe 0.038 0.038 0.386
Fe 0.310 0.310 0.542
Fe 0.418 0.418 0.361
Fe 0.582 0.582 0.639
Fe 0.690 0.690 0.458
Fe 0.962 0.962 0.614
Si 0.187 0.187 0.673
Si 0.477 0.477 0.808
Si 0.523 0.523 0.192
Si 0.813 0.813 0.327

=====

Record 8
Y2TeSe2 after structural relaxation. Source: Alexandria via LeMat-Bulk, functional PBE.

Summary:
Energy relative to the lowest polymorph listed for this composition = 0.1679 eV/atom
DOS(E_F) = 0.05 states/eV per atom

Cell lengths 8.174, 8.174, 3.781 Å; angles 90.00, 90.00, 90.00 degrees
Positions (direct):
Y 0.160 0.340 0.000
Y 0.340 0.840 0.000
Y 0.660 0.160 0.000
Y 0.840 0.660 0.000
Te 0.000 0.000 0.000
Te 0.500 0.500 0.000
Se 0.136 0.636 0.500
Se 0.364 0.136 0.500
Se 0.636 0.864 0.500
Se 0.864 0.364 0.500

=====

Record 9
NpPaCoTc after structural relaxation. Source: Alexandria via LeMat-Bulk, functional PBE.

Summary:
ΔH_f (0 K) = 0.05 eV/atom
DOS(E_F) = 1.78 states/eV per atom

Cell lengths 4.741, 4.741, 4.741 Å; angles 60.00, 60.00, 60.00 degrees
Positions (direct):
Np 0.000 0.000 0.000
Pa 0.500 0.500 0.500
Co 0.750 0.750 0.750
Tc 0.250 0.250 0.250

=====

Record 10
CrCo2Rh after structural relaxation. Source: Alexandria via LeMat-Bulk, functional PBE.

Summary:
ΔH_f (0 K) = 0.16 eV/atom
DOS(E_F) = 1.86 states/eV per atom

Cell lengths 8.428, 8.428, 8.428 Å; angles 17.65, 17.65, 17.65 degrees
Positions (direct):
Cr 0.000 0.000 0.000
Co 0.254 0.254 0.254
Co 0.746 0.746 0.746
Rh 0.500 0.500 0.500

=====

Record 11
Sc3N2O after structural relaxation. Source: Alexandria via LeMat-Bulk, functional PBE.

Summary:
Energy relative to the lowest polymorph listed for this composition = 0.0000 eV/atom
DOS(E_F) = 0.26 states/eV per atom

Cell lengths 5.513, 5.513, 5.513 Å; angles 146.48, 131.79, 60.00 degrees
Positions (direct):
Sc 0.000 0.000 0.000
Sc 0.327 0.327 0.000
Sc 0.673 0.673 0.000
N 0.166 0.666 0.500
N 0.834 0.334 0.500
O 0.500 0.000 0.500

=====

Record 12
Pr2Mg12Hg7 after structural relaxation. Source: Alexandria via LeMat-Bulk, functional PBE.

Summary:
ΔH_f (0 K) = -0.27 eV/atom
DOS(E_F) = 0.44 states/eV per atom

Cell lengths 11.518, 11.518, 4.349 Å; angles 90.00, 90.00, 120.00 degrees
Positions (direct):
Pr 0.333 0.667 0.251
Pr 0.667 0.333 0.749
Mg 0.045 0.431 0.749
Mg 0.110 0.265 0.245
Mg 0.156 0.890 0.245
Mg 0.265 0.156 0.755
Mg 0.386 0.955 0.749
Mg 0.431 0.386 0.251
Mg 0.569 0.614 0.749
Mg 0.614 0.045 0.251
Mg 0.735 0.844 0.245
Mg 0.844 0.110 0.755
Mg 0.890 0.735 0.755
Mg 0.955 0.569 0.251
Hg 0.000 0.000 0.500
Hg 0.135 0.711 0.750
Hg 0.289 0.424 0.750
Hg 0.424 0.135 0.250
Hg 0.576 0.865 0.750
Hg 0.711 0.576 0.250
Hg 0.865 0.289 0.250